Entry 1:
# K3Pu3GeS8 (GGA-PBE, optimized geometry)
data_K3Pu3GeS8
_chemical_formula_sum 'K9 Pu9 Ge3 S24'
_cell_length_a 8.0750
_cell_length_b 8.0750
_cell_length_c 22.0446
_cell_angle_alpha 90.00
_cell_angle_beta 90.00
_cell_angle_gamma 120.00
_space_group_name_H-M_alt 'R -3 m'
_space_group_IT_number 166
_space_group_name_Hall '-R 3 2"'
loop_
_atom_site_label
_atom_site_type_symbol
_atom_site_fract_x
_atom_site_fract_y
_atom_site_fract_z
_atom_site_occupancy
K1 K 0.0000 0.5000 0.0000 1
Pu1 Pu 0.0000 0.5000 0.5000 1
Ge1 Ge 0.0000 0.0000 0.5000 1
S1 S 0.0000 0.0000 0.2333 1
S2 S 0.0022 0.5011 0.7705 1
# **Formation energy from raw total energies**: -1.326 eV per atom
# **N(E_F)**: 1.688 states/eV/atom
# **Magnetic moment**: 38.99 μB/cell

Entry 2:
# KPuGeS3 (GGA-PBE, optimized geometry)
data_KPuGeS3
_chemical_formula_sum 'K2 Pu2 Ge2 S6'
_cell_length_a 8.228
_cell_length_b 3.974
_cell_length_c 10.792
_cell_angle_alpha 90.00
_cell_angle_beta 106.88
_cell_angle_gamma 90.00
_space_group_name_H-M_alt 'P 1 21/m 1'
_space_group_IT_number 11
_space_group_name_Hall '-P 2yb'
loop_
_atom_site_label
_atom_site_type_symbol
_atom_site_fract_x
_atom_site_fract_y
_atom_site_fract_z
_atom_site_occupancy
K1 K 0.240 0.250 0.275 1
Pu1 Pu 0.350 0.750 0.847 1
Ge1 Ge 0.138 0.250 0.566 1
S1 S 0.100 0.250 0.774 1
S2 S 0.332 0.750 0.587 1
S3 S 0.411 0.750 0.109 1
# **Formation energy from raw total energies**: -1.137 eV per atom
# **N(E_F)**: 1.355 states/eV/atom
# **Magnetic moment**: 9.88 μB/cell

Entry 3:
# K2PuGeS4 (GGA-PBE, optimized geometry)
data_K2PuGeS4
_chemical_formula_sum 'K8 Pu4 Ge4 S16'
_cell_length_a 8.312
_cell_length_b 8.393
_cell_length_c 11.719
_cell_angle_alpha 90.00
_cell_angle_beta 90.00
_cell_angle_gamma 90.00
_space_group_name_H-M_alt 'I m m a'
_space_group_IT_number 74
_space_group_name_Hall '-I 2b 2'
loop_
_atom_site_label
_atom_site_type_symbol
_atom_site_fract_x
_atom_site_fract_y
_atom_site_fract_z
_atom_site_occupancy
K1 K 0.000 0.000 0.000 1
K2 K 0.250 0.250 0.250 1
Pu1 Pu 0.250 0.250 0.750 1
Ge1 Ge 0.000 0.000 0.500 1
S1 S 0.000 0.037 0.735 1
S2 S 0.220 0.250 0.523 1
# **Formation energy from raw total energies**: -1.086 eV per atom
# **N(E_F)**: 1.139 states/eV/atom
# **Magnetic moment**: 16.00 μB/cell

Entry 4:
# KPuGeTe3 (GGA-PBE, optimized geometry)
data_KPuGeTe3
_chemical_formula_sum 'K2 Pu2 Ge2 Te6'
_cell_length_a 9.223
_cell_length_b 4.346
_cell_length_c 11.705
_cell_angle_alpha 90.00
_cell_angle_beta 108.79
_cell_angle_gamma 90.00
_space_group_name_H-M_alt 'P 1 21/m 1'
_space_group_IT_number 11
_space_group_name_Hall '-P 2yb'
loop_
_atom_site_label
_atom_site_type_symbol
_atom_site_fract_x
_atom_site_fract_y
_atom_site_fract_z
_atom_site_occupancy
K1 K 0.234 0.250 0.281 1
Pu1 Pu 0.359 0.750 0.839 1
Ge1 Ge 0.121 0.250 0.554 1
Te1 Te 0.101 0.250 0.780 1
Te2 Te 0.328 0.750 0.564 1
Te3 Te 0.389 0.750 0.110 1
# **Formation energy from raw total energies**: -0.750 eV per atom
# **N(E_F)**: 2.113 states/eV/atom
# **Magnetic moment**: 9.97 μB/cell

Entry 5:
# K5Rb2Ge4 (GGA-PBE, optimized geometry)
data_K5Rb2Ge4
_chemical_formula_sum 'K10 Rb4 Ge8'
_cell_length_a 15.816
_cell_length_b 7.680
_cell_length_c 10.254
_cell_angle_alpha 90.00
_cell_angle_beta 123.55
_cell_angle_gamma 90.00
_space_group_name_H-M_alt 'C 1 2/m 1'
_space_group_IT_number 12
_space_group_name_Hall '-C 2y'
loop_
_atom_site_label
_atom_site_type_symbol
_atom_site_fract_x
_atom_site_fract_y
_atom_site_fract_z
_atom_site_occupancy
K1 K 0.000 0.000 0.000 1
K2 K 0.108 0.255 0.394 1
Rb1 Rb 0.232 0.500 0.088 1
Ge1 Ge 0.080 0.500 0.653 1
Ge2 Ge 0.244 0.000 0.267 1
# **Formation energy**: 0.0017 eV per atom
# **N(E_F)**: 0.573 states/eV/atom
# **Magnetic moment**: 0.00 μB/cell

Entry 6:
# KRb2Ge (GGA-PBE, optimized geometry)
data_KRb2Ge
_chemical_formula_sum 'K4 Rb8 Ge4'
_cell_length_a 12.004
_cell_length_b 8.206
_cell_length_c 10.500
_cell_angle_alpha 90.00
_cell_angle_beta 115.44
_cell_angle_gamma 90.00
_space_group_name_H-M_alt 'P 1 21/c 1'
_space_group_IT_number 14
_space_group_name_Hall '-P 2ybc'
loop_
_atom_site_label
_atom_site_type_symbol
_atom_site_fract_x
_atom_site_fract_y
_atom_site_fract_z
_atom_site_occupancy
K1 K 0.001 0.001 0.185 1
Rb1 Rb 0.299 0.700 0.151 1
Rb2 Rb 0.327 0.250 0.418 1
Ge1 Ge 0.038 0.136 0.519 1
# **Formation energy**: 0.0056 eV per atom
# **N(E_F)**: 1.002 states/eV/atom
# **Magnetic moment**: 0.39 μB/cell

Entry 7:
# K2RbGe (GGA-PBE, optimized geometry)
data_K2RbGe
_chemical_formula_sum 'K8 Rb4 Ge4'
_cell_length_a 10.479
_cell_length_b 8.327
_cell_length_c 11.059
_cell_angle_alpha 90.00
_cell_angle_beta 110.98
_cell_angle_gamma 90.00
_space_group_name_H-M_alt 'P 1 21/c 1'
_space_group_IT_number 14
_space_group_name_Hall '-P 2ybc'
loop_
_atom_site_label
_atom_site_type_symbol
_atom_site_fract_x
_atom_site_fract_y
_atom_site_fract_z
_atom_site_occupancy
K1 K 0.165 0.172 0.009 1
K2 K 0.172 0.630 0.871 1
Rb1 Rb 0.431 0.505 0.290 1
Ge1 Ge 0.468 0.136 0.488 1
# **Formation energy**: 0.0068 eV per atom
# **N(E_F)**: 0.917 states/eV/atom
# **Magnetic moment**: 0.84 μB/cell

Entry 8:
# KRb2Ge2 (GGA-PBE, optimized geometry)
data_KRb2Ge2
_chemical_formula_sum 'K2 Rb4 Ge4'
_cell_length_a 12.450
_cell_length_b 4.179
_cell_length_c 10.991
_cell_angle_alpha 90.00
_cell_angle_beta 106.06
_cell_angle_gamma 90.00
_space_group_name_H-M_alt 'C 1 2/m 1'
_space_group_IT_number 12
_space_group_name_Hall '-C 2y'
loop_
_atom_site_label
_atom_site_type_symbol
_atom_site_fract_x
_atom_site_fract_y
_atom_site_fract_z
_atom_site_occupancy
K1 K 0.000 0.000 0.000 1
Rb1 Rb 0.174 0.500 0.686 1
Ge1 Ge 0.232 0.500 0.055 1
# **Formation energy**: -0.0471 eV per atom
# **N(E_F)**: 0.738 states/eV/atom
# **Magnetic moment**: 0.00 μB/cell

Entry 9:
# KRbGe (GGA-PBE, optimized geometry)
data_KRbGe
_chemical_formula_sum 'K2 Rb2 Ge2'
_cell_length_a 7.147
_cell_length_b 4.218
_cell_length_c 9.845
_cell_angle_alpha 90.00
_cell_angle_beta 102.72
_cell_angle_gamma 90.00
_space_group_name_H-M_alt 'P 1 m 1'
_space_group_IT_number 6
_space_group_name_Hall 'P -2y'
loop_
_atom_site_label
_atom_site_type_symbol
_atom_site_fract_x
_atom_site_fract_y
_atom_site_fract_z
_atom_site_occupancy
K1 K 0.000 0.000 0.000 1
K2 K 0.460 0.500 0.847 1
Rb1 Rb 0.140 0.000 0.514 1
Rb2 Rb 0.592 0.500 0.343 1
Ge1 Ge 0.688 0.000 0.657 1
Ge2 Ge 0.896 0.500 0.709 1
# **Formation energy**: -0.0610 eV per atom
# **N(E_F)**: 0.390 states/eV/atom
# **Magnetic moment**: 0.00 μB/cell

Entry 10:
# K2RbGe (GGA-PBE, optimized geometry)
data_K2RbGe
_chemical_formula_sum 'K8 Rb4 Ge4'
_cell_length_a 5.583
_cell_length_b 5.583
_cell_length_c 24.829
_cell_angle_alpha 90.00
_cell_angle_beta 90.00
_cell_angle_gamma 90.00
_space_group_name_H-M_alt 'I -4 2 d'
_space_group_IT_number 122
_space_group_name_Hall 'I -4 2bw'
loop_
_atom_site_label
_atom_site_type_symbol
_atom_site_fract_x
_atom_site_fract_y
_atom_site_fract_z
_atom_site_occupancy
K1 K 0.204 0.250 0.125 1
Rb1 Rb 0.000 0.000 0.500 1
Ge1 Ge 0.000 0.000 0.000 1
# **Formation energy**: 0.2786 eV per atom
# **N(E_F)**: 0.789 states/eV/atom
# **Magnetic moment**: 3.69 μB/cell

Entry 11:
# KRbGe (GGA-PBE, optimized geometry)
data_KRbGe
_chemical_formula_sum 'K2 Rb2 Ge2'
_cell_length_a 5.9611
_cell_length_b 5.9611
_cell_length_c 9.8850
_cell_angle_alpha 90.00
_cell_angle_beta 90.00
_cell_angle_gamma 120.00
_space_group_name_H-M_alt 'P 3 m 1'
_space_group_IT_number 156
_space_group_name_Hall 'P 3 -2"'
loop_
_atom_site_label
_atom_site_type_symbol
_atom_site_fract_x
_atom_site_fract_y
_atom_site_fract_z
_atom_site_occupancy
K1 K 0.0000 0.0000 0.0000 1
K2 K 0.3333 0.6667 0.2106 1
Rb1 Rb 0.3333 0.6667 0.7624 1
Rb2 Rb 0.6667 0.3333 0.4878 1
Ge1 Ge 0.6667 0.3333 0.1154 1
Ge2 Ge 0.6667 0.3333 0.8778 1
# **Formation energy**: -0.0501 eV per atom
# **N(E_F)**: 0.287 states/eV/atom
# **Magnetic moment**: 0.00 μB/cell

What did the seventh record say?
# K2RbGe (GGA-PBE, optimized geometry)
data_K2RbGe
_chemical_formula_sum 'K8 Rb4 Ge4'
_cell_length_a 10.479
_cell_length_b 8.327
_cell_length_c 11.059
_cell_angle_alpha 90.00
_cell_angle_beta 110.98
_cell_angle_gamma 90.00
_space_group_name_H-M_alt 'P 1 21/c 1'
_space_group_IT_number 14
_space_group_name_Hall '-P 2ybc'
loop_
_atom_site_label
_atom_site_type_symbol
_atom_site_fract_x
_atom_site_fract_y
_atom_site_fract_z
_atom_site_occupancy
K1 K 0.165 0.172 0.009 1
K2 K 0.172 0.630 0.871 1
Rb1 Rb 0.431 0.505 0.290 1
Ge1 Ge 0.468 0.136 0.488 1
# **Formation energy**: 0.0068 eV per atom
# **N(E_F)**: 0.917 states/eV/atom
# **Magnetic moment**: 0.84 μB/cell